one.
Density functional theory data (GGA-PBEsol) for a geometry-optimized La2YRh structure.

Calculated values
Its space-group type is F-43m, No. 216. The density of states at the Fermi level is 1.637 states/eV/atom. The calculation puts the total magnetization at 0.00 μB/f.u.

Cell: 5.1542 5.1542 5.1542 Å, 60.00 60.00 60.00°
Sites, in units of the cell vectors:
La  0.0000  0.0000  0.0000
La  0.7500  0.7500  0.7500
Rh  0.5000  0.5000  0.5000
Y  0.2500  0.2500  0.2500

---

two.
Density functional theory data (GGA-PBEsol) for a geometry-optimized La2YRh structure.

Calculated values
Its space-group type is Fm-3m, No. 225. The density of states at the Fermi level is 1.524 states/eV/atom. The calculation puts the total magnetization at 0.00 μB/f.u.

Cell: 5.2284 5.2284 5.2284 Å, 60.00 60.00 60.00°
Sites, in units of the cell vectors:
La  0.7500  0.7500  0.7500
La  0.2500  0.2500  0.2500
Rh  0.0000  0.0000  0.0000
Y  0.5000  0.5000  0.5000

---

three.
Density functional theory data (GGA-PBEsol) for a geometry-optimized La2YRh structure.

Calculated values
Its space-group type is R-3m, No. 166. The density of states at the Fermi level is 1.622 states/eV/atom. The calculation puts the total magnetization at 0.00 μB/f.u.

Cell: 3.8591 3.8591 9.6101 Å, 78.42 78.42 60.00°
Sites, in units of the cell vectors:
La  0.7725  0.7725  0.6825
La  0.2275  0.2275  0.3175
Y  0.0000  0.0000  0.0000
Rh  0.5000  0.5000  0.5000

---

four.
Density functional theory data (GGA-PBEsol) for a geometry-optimized La2YRh structure.

Calculated values
Its space-group type is Pmmm, No. 47. The density of states at the Fermi level is 1.120 states/eV/atom. The calculation puts the total magnetization at 0.00 μB/f.u.

Cell: 3.6000 5.2483 5.2431 Å, 90.00 90.00 90.00°
Sites, in units of the cell vectors:
Y  0.0000  0.5000  0.5000
La  0.5000  0.0000  0.5000
La  0.0000  0.0000  0.0000
Rh  0.5000  0.5000  0.0000

---

Top of the stability list: three, leading by 18.0 kJ/mol of atoms.

---

one.
Density functional theory data (GGA-PBEsol) for a geometry-optimized La2YRh structure.

Calculated values
Its space-group type is C2/m, No. 12. The density of states at the Fermi level is 1.137 states/eV/atom. The calculation puts the total magnetization at 0.00 μB/f.u.

Cell: 3.4443 5.6774 5.9861 Å, 115.15 101.92 99.85°
Sites, in units of the cell vectors:
La  0.5000  0.5000  0.5000
La  0.0000  0.0000  0.5000
Rh  0.5000  0.0000  0.0000
Y  0.0000  0.5000  0.0000

---

two.
Density functional theory data (GGA-PBEsol) for a geometry-optimized La2YRh structure.

Calculated values
Its space-group type is P4/mmm, No. 123. The density of states at the Fermi level is 0.869 states/eV/atom. The calculation puts the total magnetization at 0.00 μB/f.u.

Cell: 3.7638 5.2260 5.2260 Å, 90.00 90.00 90.00°
Sites, in units of the cell vectors:
Y  0.5000  0.0000  0.0000
La  0.0000  0.5000  0.0000
La  0.0000  0.0000  0.5000
Rh  0.5000  0.5000  0.5000

---

three.
Density functional theory data (GGA-PBEsol) for a geometry-optimized La2YRh structure.

Calculated values
Its space-group type is Cm, No. 8. The density of states at the Fermi level is 1.092 states/eV/atom. The calculation puts the total magnetization at 0.00 μB/f.u.

Cell: 3.6890 5.6242 6.2728 Å, 115.61 107.10 90.00°
Sites, in units of the cell vectors:
La  0.0009  0.9904  0.0017
La  0.8039  0.2945  0.6077
Y  0.1944  0.6824  0.3888
Rh  0.5009  0.5327  0.0018

---

four.
Density functional theory data (GGA-PBEsol) for a geometry-optimized La2YRh structure.

Calculated values
Its space-group type is Immm, No. 71. The density of states at the Fermi level is 0.621 states/eV/atom. The calculation puts the total magnetization at 0.00 μB/f.u.

Cell: 3.7479 5.4980 6.2252 Å, 116.21 107.52 90.00°
Sites, in units of the cell vectors:
Y  0.0000  0.5000  0.0000
La  0.1982  0.1982  0.3964
La  0.8018  0.8018  0.6036
Rh  0.5000  0.0000  0.0000

---

Top of the stability list: four, leading by 4.3 kJ/mol of atoms.

---

one.
Density functional theory data (GGA-PBEsol) for a geometry-optimized LaZr2Rh structure.

Calculated values
Its space-group type is P4mm, No. 99. The density of states at the Fermi level is 1.009 states/eV/atom. The calculation puts the total magnetization at 0.00 μB/f.u.

Cell: 3.2585 3.2585 8.4314 Å, 90.00 90.00 90.00°
Sites, in units of the cell vectors:
Zr  0.5000  0.5000  0.2069
Zr  0.0000  0.0000  0.9625
La  0.0000  0.0000  0.5383
Rh  0.5000  0.5000  0.7923

---

two.
Density functional theory data (GGA-PBEsol) for a geometry-optimized LaZr2Rh structure.

Calculated values
Its space-group type is P4/mmm, No. 123. The density of states at the Fermi level is 1.179 states/eV/atom. The calculation puts the total magnetization at 0.00 μB/f.u.

Cell: 4.0504 4.0504 5.2842 Å, 90.00 90.00 90.00°
Sites, in units of the cell vectors:
Zr  0.0000  0.5000  0.0000
Zr  0.5000  0.0000  0.0000
Rh  0.0000  0.0000  0.5000
La  0.5000  0.5000  0.5000

---

Top of the stability list: one, leading by 21.5 kJ/mol of atoms.

---

one.
Density functional theory data (GGA-PBEsol) for a geometry-optimized La2ZrRh structure.

Calculated values
Its space-group type is Pmmm, No. 47. The density of states at the Fermi level is 1.020 states/eV/atom. The calculation puts the total magnetization at 0.00 μB/f.u.

Cell: 3.4077 5.0072 5.2858 Å, 90.00 90.00 90.00°
Sites, in units of the cell vectors:
La  0.0000  0.0000  0.0000
La  0.5000  0.0000  0.5000
Zr  0.0000  0.5000  0.5000
Rh  0.5000  0.5000  0.0000

---

two.
Density functional theory data (GGA-PBEsol) for a geometry-optimized La2ZrRh structure.

Calculated values
Its space-group type is P4mm, No. 99. The density of states at the Fermi level is 1.263 states/eV/atom. The calculation puts the total magnetization at 0.00 μB/f.u.

Cell: 3.3987 3.3987 8.6464 Å, 90.00 90.00 90.00°
Sites, in units of the cell vectors:
La  0.5000  0.5000  0.3089
La  0.0000  0.0000  0.9637
Zr  0.5000  0.5000  0.6910
Rh  0.0000  0.0000  0.5364

---

Top of the stability list: two, leading by 25.0 kJ/mol of atoms.